DFT (PBE-GGA) results for a geometry-optimized Li2YCr structure.

abc: 4.149 4.149 5.004
angles: 90.00 90.00 90.00
Site moments in Bohr magnetons follow the coordinates.
Fractional coordinates of all 4 atoms:
1 Li 0.000 0.000 0.000  -0.03
2 Li 0.500 0.500 0.000  -0.03
3 Y 0.500 0.000 0.500  -0.11
4 Cr 0.000 0.500 0.500  3.53

space-group type	P4/mmm
mass density	2.98	g cm⁻³
DFT formation energy	0.388	eV/atom
E	-18.36	eV/f.u.

---

DFT (PBE-GGA) results for a geometry-optimized Li2YCr structure.

abc: 6.034 6.034 3.188
angles: 77.16 77.16 121.32
Site moments in Bohr magnetons follow the coordinates.
Fractional coordinates of all 4 atoms:
1 Cr 0.000 0.500 0.500  3.59
2 Li 0.000 0.000 0.000  -0.02
3 Li 0.500 0.500 0.000  -0.02
4 Y 0.500 0.000 0.500  -0.12

space-group type	C2/m
mass density	2.91	g cm⁻³
DFT formation energy	0.453	eV/atom
E	-18.10	eV/f.u.

---

DFT (PBE-GGA) results for a geometry-optimized LiYCr2 structure.

abc: 4.058 4.058 9.828
angles: 78.09 78.09 90.00
Fractional coordinates of all 8 atoms:
1 Y 0.000 0.000 0.000
2 Cr 0.875 0.644 0.750
3 Cr 0.356 0.625 0.250
4 Y 0.750 0.250 0.500
5 Cr 0.394 0.125 0.250
6 Li 0.500 0.500 0.000
7 Li 0.250 0.750 0.500
8 Cr 0.375 0.606 0.750

space-group type	I-42d
mass density	4.29	g cm⁻³
DFT formation energy	0.960	eV/atom
E	-23.79	eV/f.u.

---

DFT (PBE-GGA) results for a geometry-optimized Li2YCr structure.

abc: 10.422 10.422 10.422
angles: 17.65 17.65 17.65
Site moments in Bohr magnetons follow the coordinates.
Fractional coordinates of all 4 atoms:
1 Li 0.491 0.491 0.491  0.00
2 Li 0.009 0.009 0.009  0.00
3 Y 0.250 0.250 0.250  -0.03
4 Cr 0.750 0.750 0.750  3.86

space-group type	R-3m
mass density	2.83	g cm⁻³
DFT formation energy	0.518	eV/atom
E	-17.84	eV/f.u.

---

DFT (PBE-GGA) results for a geometry-optimized LiYCr2 structure.

abc: 3.676 3.676 4.691
angles: 90.00 90.00 90.00
Fractional coordinates of all 4 atoms:
1 Y 0.000 0.500 0.500
2 Cr 0.000 0.000 0.000
3 Li 0.500 0.000 0.500
4 Cr 0.500 0.500 0.000

space-group type	P4/mmm
mass density	5.23	g cm⁻³
DFT formation energy	0.730	eV/atom
E	-24.71	eV/f.u.

---

DFT (PBE-GGA) results for a geometry-optimized Li2YCr structure.

abc: 4.904 4.904 4.904
angles: 120.00 120.00 90.00
Site moments in Bohr magnetons follow the coordinates.
Fractional coordinates of all 4 atoms:
1 Li 0.000 0.000 0.000  -0.04
2 Li 0.250 0.750 0.500  -0.07
3 Cr 0.750 0.250 0.500  3.59
4 Y 0.500 0.500 0.000  -0.05

space-group type	F-43m
mass density	3.08	g cm⁻³
DFT formation energy	0.378	eV/atom
E	-18.40	eV/f.u.

---

DFT (PBE-GGA) results for a geometry-optimized LiYCr2 structure.

abc: 9.196 9.196 9.196
angles: 19.02 19.02 19.02
Fractional coordinates of all 4 atoms:
1 Y 0.741 0.741 0.741
2 Cr 0.982 0.982 0.982
3 Li 0.514 0.514 0.514
4 Cr 0.263 0.263 0.263

space-group type	R3m
mass density	4.60	g cm⁻³
DFT formation energy	0.597	eV/atom
E	-25.23	eV/f.u.

---

DFT (PBE-GGA) results for a geometry-optimized Li2YCr structure.

abc: 5.252 5.252 5.252
angles: 133.73 124.10 75.41
Site moments in Bohr magnetons follow the coordinates.
Fractional coordinates of all 4 atoms:
1 Cr 0.769 0.269 0.500  3.71
2 Li 0.002 0.002 0.000  -0.03
3 Y 0.500 0.500 0.000  0.00
4 Li 0.229 0.729 0.500  -0.04

space-group type	Imm2
mass density	3.04	g cm⁻³
DFT formation energy	0.389	eV/atom
E	-18.36	eV/f.u.

---

DFT (PBE-GGA) results for a geometry-optimized LiYCr2 structure.

abc: 2.680 2.680 9.076
angles: 90.00 90.00 90.00
Fractional coordinates of all 4 atoms:
1 Cr 0.000 0.000 0.485
2 Li 0.500 0.500 0.250
3 Y 0.500 0.500 0.750
4 Cr 0.000 0.000 0.015

space-group type	P4/mmm
mass density	5.09	g cm⁻³
DFT formation energy	0.970	eV/atom
E	-23.74	eV/f.u.

---

DFT (PBE-GGA) results for a geometry-optimized LiYCr2 structure.

abc: 4.840 4.840 4.840
angles: 60.00 60.00 60.00
Site moments in Bohr magnetons follow the coordinates.
Fractional coordinates of all 4 atoms:
1 Li 0.000 0.000 0.000  -0.03
2 Y 0.500 0.500 0.500  0.14
3 Cr 0.250 0.250 0.250  3.48
4 Cr 0.750 0.750 0.750  3.48

space-group type	Fm-3m
mass density	4.14	g cm⁻³
DFT formation energy	0.674	eV/atom
E	-24.93	eV/f.u.

---

DFT (PBE-GGA) results for a geometry-optimized LiYCr2 structure.

abc: 4.449 4.449 4.110
angles: 90.04 90.04 90.05
Site moments in Bohr magnetons follow the coordinates.
Fractional coordinates of all 4 atoms:
1 Y 0.000 0.500 0.500  -0.02
2 Cr 0.500 0.500 0.000  3.55
3 Cr 0.000 0.000 0.000  3.55
4 Li 0.500 0.000 0.500  -0.03

space-group type	P4/mmm
mass density	4.08	g cm⁻³
DFT formation energy	0.646	eV/atom
E	-25.04	eV/f.u.

---

DFT (PBE-GGA) results for a geometry-optimized Li2YCr structure.

abc: 3.491 3.491 6.934
angles: 90.00 90.00 90.02
Site moments in Bohr magnetons follow the coordinates.
Fractional coordinates of all 4 atoms:
1 Y 0.000 0.000 0.527  -0.22
2 Li 0.500 0.500 0.204  -0.02
3 Cr 0.500 0.500 0.780  3.32
4 Li 0.000 0.000 0.989  0.00

space-group type	P4mm
mass density	3.04	g cm⁻³
DFT formation energy	0.329	eV/atom
E	-18.60	eV/f.u.

---

Question: Which value of DFT formation energy does entry 2 give?
Answer: 0.453 eV/atom

---

Repeat the first record exactly.
DFT (PBE-GGA) results for a geometry-optimized Li2YCr structure.

abc: 4.149 4.149 5.004
angles: 90.00 90.00 90.00
Site moments in Bohr magnetons follow the coordinates.
Fractional coordinates of all 4 atoms:
1 Li 0.000 0.000 0.000  -0.03
2 Li 0.500 0.500 0.000  -0.03
3 Y 0.500 0.000 0.500  -0.11
4 Cr 0.000 0.500 0.500  3.53

space-group type	P4/mmm
mass density	2.98	g cm⁻³
DFT formation energy	0.388	eV/atom
E	-18.36	eV/f.u.

---

Question: What is the formula in the tenth record?
Answer: LiYCr2

---

Please write out number 10 again, unchanged.
DFT (PBE-GGA) results for a geometry-optimized LiYCr2 structure.

abc: 4.840 4.840 4.840
angles: 60.00 60.00 60.00
Site moments in Bohr magnetons follow the coordinates.
Fractional coordinates of all 4 atoms:
1 Li 0.000 0.000 0.000  -0.03
2 Y 0.500 0.500 0.500  0.14
3 Cr 0.250 0.250 0.250  3.48
4 Cr 0.750 0.750 0.750  3.48

space-group type	Fm-3m
mass density	4.14	g cm⁻³
DFT formation energy	0.674	eV/atom
E	-24.93	eV/f.u.